(1)
Material: Ho2Ga9Rh3
Method: DFT, meta-GGA SCAN
State: PBEsol geometry

a = 7.4240 Å, b = 7.4240 Å, c = 9.3598 Å
α = 90.00°, β = 90.00°, γ = 60.28°
With the nearest neighbours (Å) after each atom.
Atoms (fractional coordinates):
Ho  0.0024  0.6698  0.7500  11 Ga 2.96-3.09
Ho  0.3302  0.9976  0.7500  11 Ga 2.96-3.09
Ho  0.6698  0.0024  0.2500  11 Ga 2.96-3.09
Ho  0.9976  0.3302  0.2500  11 Ga 2.96-3.09
Ga  0.0008  0.6651  0.0798  3 Rh 2.53-2.59, 3 Ga 2.69-2.82
Ga  0.0008  0.6651  0.4202  3 Rh 2.53-2.59, 3 Ga 2.69-2.82
Ga  0.1273  0.8727  0.2500  2 Rh 2.53, 6 Ga 2.69-2.71
Ga  0.3329  0.6671  0.5660  3 Rh 2.56-2.61, 5 Ga 2.75-2.82
Ga  0.3329  0.6671  0.9340  3 Rh 2.56-2.61, 5 Ga 2.75-2.82
Ga  0.3349  0.9992  0.0798  3 Rh 2.53-2.59, 3 Ga 2.69-2.82
Ga  0.3349  0.9992  0.4202  3 Rh 2.53-2.59, 3 Ga 2.69-2.82
Ga  0.3386  0.4519  0.2500  2 Rh 2.53, 6 Ga 2.69-2.75
Ga  0.4519  0.3386  0.7500  2 Rh 2.53, 6 Ga 2.69-2.75
Ga  0.5481  0.6614  0.2500  2 Rh 2.53, 6 Ga 2.69-2.75
Ga  0.6614  0.5481  0.7500  2 Rh 2.53, 6 Ga 2.69-2.75
Ga  0.6651  0.0008  0.5798  3 Rh 2.53-2.59, 3 Ga 2.69-2.82
Ga  0.6651  0.0008  0.9202  3 Rh 2.53-2.59, 3 Ga 2.69-2.82
Ga  0.6671  0.3329  0.0660  3 Rh 2.56-2.61, 5 Ga 2.75-2.82
Ga  0.6671  0.3329  0.4340  3 Rh 2.56-2.61, 5 Ga 2.75-2.82
Ga  0.8727  0.1273  0.7500  2 Rh 2.53, 6 Ga 2.69-2.71
Ga  0.9992  0.3349  0.5798  3 Rh 2.53-2.59, 3 Ga 2.69-2.82
Ga  0.9992  0.3349  0.9202  3 Rh 2.53-2.59, 3 Ga 2.69-2.82
Rh  0.0000  0.0000  0.0000  8 Ga 2.53-2.59
Rh  0.0000  0.0000  0.5000  8 Ga 2.53-2.59
Rh  0.3283  0.3283  0.0000  8 Ga 2.53-2.61
Rh  0.3283  0.3283  0.5000  8 Ga 2.53-2.61
Rh  0.6717  0.6717  0.0000  8 Ga 2.53-2.61
Rh  0.6717  0.6717  0.5000  8 Ga 2.53-2.61

Results
Calculated formation energy (eV/atom): -0.818
Space-group type: No. 63
Density of states at the Fermi level (states/eV per atom): 0.24

=====

(2)
Material: Ho3Ga8Rh3
Method: DFT, meta-GGA SCAN
State: PBEsol geometry

a = 8.0160 Å, b = 8.0160 Å, c = 8.0160 Å
α = 150.21°, β = 106.31°, γ = 81.45°
With the nearest neighbours (Å) after each atom.
Atoms (fractional coordinates):
Ho  0.0000  0.0000  0.0000  12 Ga 3.10-3.17, 4 Rh 3.39
Ho  0.3292  0.3292  0.0000  4 Rh 2.92-2.96, 8 Ga 2.99-3.09
Ho  0.6708  0.6708  0.0000  4 Rh 2.92-2.96, 8 Ga 2.99-3.09
Ga  0.0400  0.6700  0.3700  4 Ga 2.50-2.65, 1 Rh 2.52
Ga  0.1592  0.8765  0.2827  3 Rh 2.55-2.57, 3 Ga 2.59-2.65
Ga  0.2999  0.6700  0.6300  4 Ga 2.50-2.65, 1 Rh 2.52
Ga  0.4061  0.1235  0.2827  3 Rh 2.55-2.57, 3 Ga 2.59-2.65
Ga  0.5939  0.8765  0.7173  3 Rh 2.55-2.57, 3 Ga 2.59-2.65
Ga  0.7001  0.3300  0.3700  4 Ga 2.50-2.65, 1 Rh 2.52
Ga  0.8408  0.1235  0.7173  3 Rh 2.55-2.57, 3 Ga 2.59-2.65
Ga  0.9600  0.3300  0.6300  4 Ga 2.50-2.65, 1 Rh 2.52
Rh  0.2802  0.5000  0.7802  6 Ga 2.52-2.55
Rh  0.5000  0.0000  0.5000  4 Ga 2.57
Rh  0.7198  0.5000  0.2198  6 Ga 2.52-2.55

Results
Calculated formation energy (eV/atom): -0.826
Space-group type: No. 71
Density of states at the Fermi level (states/eV per atom): 0.49

=====

(3)
Material: Ho2Ga9Ru3
Method: DFT, meta-GGA SCAN
State: PBEsol geometry

a = 7.3450 Å, b = 7.3450 Å, c = 9.5408 Å
α = 90.00°, β = 90.00°, γ = 61.18°
With the nearest neighbours (Å) after each atom.
Atoms (fractional coordinates):
Ho  0.0018  0.6766  0.7500  11 Ga 2.98-3.13
Ho  0.3234  0.9982  0.7500  11 Ga 2.98-3.13
Ho  0.6766  0.0018  0.2500  11 Ga 2.98-3.13
Ho  0.9982  0.3234  0.2500  11 Ga 2.98-3.13
Ga  0.0101  0.6610  0.0784  3 Ru 2.51-2.57, 3 Ga 2.66-2.76
Ga  0.0101  0.6610  0.4216  3 Ru 2.51-2.57, 3 Ga 2.66-2.76
Ga  0.1335  0.8665  0.2500  2 Ru 2.59, 6 Ga 2.66-2.72
Ga  0.3375  0.6625  0.5623  3 Ru 2.59-2.61, 5 Ga 2.70-2.76
Ga  0.3375  0.6625  0.9377  3 Ru 2.59-2.61, 5 Ga 2.70-2.76
Ga  0.3390  0.9899  0.0784  3 Ru 2.51-2.57, 3 Ga 2.66-2.76
Ga  0.3390  0.9899  0.4216  3 Ru 2.51-2.57, 3 Ga 2.66-2.76
Ga  0.3409  0.4432  0.2500  2 Ru 2.57, 6 Ga 2.72-2.76
Ga  0.4432  0.3409  0.7500  2 Ru 2.57, 6 Ga 2.72-2.76
Ga  0.5568  0.6591  0.2500  2 Ru 2.57, 6 Ga 2.72-2.76
Ga  0.6591  0.5568  0.7500  2 Ru 2.57, 6 Ga 2.72-2.76
Ga  0.6610  0.0101  0.5784  3 Ru 2.51-2.57, 3 Ga 2.66-2.76
Ga  0.6610  0.0101  0.9216  3 Ru 2.51-2.57, 3 Ga 2.66-2.76
Ga  0.6625  0.3375  0.0623  3 Ru 2.59-2.61, 5 Ga 2.70-2.76
Ga  0.6625  0.3375  0.4377  3 Ru 2.59-2.61, 5 Ga 2.70-2.76
Ga  0.8665  0.1335  0.7500  2 Ru 2.59, 6 Ga 2.66-2.72
Ga  0.9899  0.3390  0.5784  3 Ru 2.51-2.57, 3 Ga 2.66-2.76
Ga  0.9899  0.3390  0.9216  3 Ru 2.51-2.57, 3 Ga 2.66-2.76
Ru  0.0000  0.0000  0.0000  8 Ga 2.57-2.59
Ru  0.0000  0.0000  0.5000  8 Ga 2.57-2.59
Ru  0.3232  0.3232  0.0000  8 Ga 2.51-2.61
Ru  0.3232  0.3232  0.5000  8 Ga 2.51-2.61
Ru  0.6768  0.6768  0.0000  8 Ga 2.51-2.61
Ru  0.6768  0.6768  0.5000  8 Ga 2.51-2.61

Results
Calculated formation energy (eV/atom): -0.627
Space-group type: No. 63
Density of states at the Fermi level (states/eV per atom): 0.37

=====

(4)
Material: HoTi2Ga4
Method: DFT, meta-GGA SCAN
State: PBEsol geometry

a = 5.4164 Å, b = 5.4164 Å, c = 5.4164 Å
α = 104.22°, β = 104.22°, γ = 120.59°
With the nearest neighbours (Å) after each atom.
Atoms (fractional coordinates):
Ho  0.0000  0.0000  0.0000  4 Ga 2.85
Ti  0.2500  0.7500  0.5000  2 Ti 2.68, 8 Ga 2.75
Ti  0.7500  0.2500  0.5000  2 Ti 2.68, 8 Ga 2.75
Ga  0.3030  0.3030  0.6060  4 Ga 2.62-2.86, 4 Ti 2.75, 1 Ho 2.85
Ga  0.3030  0.6970  0.0000  4 Ga 2.62-2.86, 4 Ti 2.75, 1 Ho 2.85
Ga  0.6970  0.3030  0.0000  4 Ga 2.62-2.86, 4 Ti 2.75, 1 Ho 2.85
Ga  0.6970  0.6970  0.3940  4 Ga 2.62-2.86, 4 Ti 2.75, 1 Ho 2.85

Results
Calculated formation energy (eV/atom): -0.642
Space-group type: No. 139
Density of states at the Fermi level (states/eV per atom): 0.71

=====

(5)
Material: GaI3
Method: DFT, meta-GGA SCAN
State: PBEsol geometry

a = 9.5581 Å, b = 6.0513 Å, c = 11.5834 Å
α = 90.00°, β = 107.49°, γ = 90.00°
With the nearest neighbours (Å) after each atom.
Atoms (fractional coordinates):
Ga  0.1972  0.0022  0.0490  4 I 2.50-2.67
Ga  0.1972  0.4978  0.5490  4 I 2.50-2.67
Ga  0.8028  0.5022  0.4510  4 I 2.50-2.67
Ga  0.8028  0.9978  0.9510  4 I 2.50-2.67
I  0.0011  0.7297  0.3787  2 Ga 2.67
I  0.0011  0.7703  0.8787  2 Ga 2.67
I  0.3300  0.2446  0.4474  1 Ga 2.50
I  0.3300  0.2554  0.9474  1 Ga 2.50
I  0.3342  0.7480  0.7164  1 Ga 2.50
I  0.3342  0.7520  0.2164  1 Ga 2.50
I  0.6658  0.2480  0.7836  1 Ga 2.50
I  0.6658  0.2520  0.2836  1 Ga 2.50
I  0.6700  0.7446  0.0526  1 Ga 2.50
I  0.6700  0.7554  0.5526  1 Ga 2.50
I  0.9989  0.2297  0.1213  2 Ga 2.67
I  0.9989  0.2703  0.6213  2 Ga 2.67

Results
Space-group type: No. 14
Uncorrected formation energy (kJ/mol of formula units): -183
Density of states at the Fermi level (states/eV per atom): 0.00

=====

(6)
Material: In3GaI
Method: DFT, meta-GGA SCAN
State: PBEsol geometry

a = 5.3834 Å, b = 5.3834 Å, c = 5.3834 Å
α = 90.00°, β = 90.00°, γ = 90.00°
With the nearest neighbours (Å) after each atom.
Atoms (fractional coordinates):
In  0.0000  0.0000  0.5000  2 Ga 2.69
In  0.0000  0.5000  0.0000  2 Ga 2.69
In  0.5000  0.0000  0.0000  2 Ga 2.69
Ga  0.0000  0.0000  0.0000  6 In 2.69
I  0.5000  0.5000  0.5000  12 In 3.81

Results
Space-group type: No. 221
Uncorrected formation energy (kJ/mol of formula units): 13
Density of states at the Fermi level (states/eV per atom): 0.43

=====

(7)
Material: InGaSbI2
Method: DFT, meta-GGA SCAN
State: PBEsol geometry

a = 5.6037 Å, b = 5.6037 Å, c = 5.3183 Å
α = 90.00°, β = 90.00°, γ = 90.00°
With the nearest neighbours (Å) after each atom.
Atoms (fractional coordinates):
In  0.0000  0.0000  0.0000  8 I 3.86, 4 Sb 3.96
Ga  0.5000  0.5000  0.5000  2 Sb 2.66, 4 I 2.80
Sb  0.5000  0.5000  0.0000  2 Ga 2.66
I  0.0000  0.5000  0.5000  2 Ga 2.80
I  0.5000  0.0000  0.5000  2 Ga 2.80

Results
Space-group type: No. 123
Uncorrected formation energy (kJ/mol of formula units): 69
Density of states at the Fermi level (states/eV per atom): 0.66

=====

(8)
Material: GaIr2I
Method: DFT, meta-GGA SCAN
State: PBEsol geometry

a = 4.5422 Å, b = 4.5422 Å, c = 4.5422 Å
α = 60.00°, β = 60.00°, γ = 60.00°
With the nearest neighbours (Å) after each atom.
Atoms (fractional coordinates):
Ga  0.0000  0.0000  0.0000  8 Ir 2.78
Ir  0.2500  0.2500  0.2500  4 I 2.78, 4 Ga 2.78
Ir  0.7500  0.7500  0.7500  4 I 2.78, 4 Ga 2.78
I  0.5000  0.5000  0.5000  8 Ir 2.78

Results
Space-group type: No. 225
Uncorrected formation energy (kJ/mol of formula units): 336
Density of states at the Fermi level (states/eV per atom): 1.06